Record 1
! VIn3Ni, optimized geometry, DFT PBE-GGA; values from VASP
&SYSTEM
  ibrav = 0, nat = 5, ntyp = 3
/
ATOMIC_SPECIES
V 50.94 V.upf
In 114.82 In.upf
Ni 58.69 Ni.upf
CELL_PARAMETERS angstrom
4.8838 0.0000 0.0000
0.0000 4.8838 0.0000
0.0000 0.0000 4.8838
ATOMIC_POSITIONS crystal
V 0.0000 0.0000 0.0000
In 0.0000 0.5000 0.5000
In 0.5000 0.0000 0.5000
In 0.5000 0.5000 0.0000
Ni 0.5000 0.5000 0.5000
! Calculated volume: 23.3 Å³ per atom
! ΔH_f (0 K): 0.47 eV/atom
! Space-group type: Pm-3m, No. 221
! Total magnetic moment: 3.733 μB/cell


Record 2
! Mg2TlCl, optimized geometry, DFT PBE-GGA; values from VASP
&SYSTEM
  ibrav = 0, nat = 4, ntyp = 3
/
ATOMIC_SPECIES
Mg 24.30 Mg.upf
Tl 204.38 Tl.upf
Cl 35.45 Cl.upf
CELL_PARAMETERS angstrom
5.3527 0.0000 0.0000
0.0000 5.3527 0.0000
0.0000 0.0000 3.2600
ATOMIC_POSITIONS crystal
Mg 0.0000 0.5000 0.0000
Mg 0.5000 0.0000 0.0000
Tl 0.0000 0.0000 0.5000
Cl 0.5000 0.5000 0.5000
! Formation energy (no corrections): -362 meV per atom
! Calculated volume: 23.4 Å³ per atom
! Space-group type: P4/mmm, No. 123
! Total magnetic moment: 0.000 μB/cell


Record 3
! EuGd2Th, optimized geometry, DFT PBE-GGA; values from VASP
&SYSTEM
  ibrav = 0, nat = 4, ntyp = 3
/
ATOMIC_SPECIES
Eu 151.96 Eu.upf
Gd 157.25 Gd.upf
Th 232.04 Th.upf
CELL_PARAMETERS angstrom
3.6203 0.0000 0.0000
0.0000 3.6203 0.0000
0.0000 0.0000 10.5274
ATOMIC_POSITIONS crystal
Eu 0.0000 0.0000 0.0000
Gd 0.5000 0.5000 0.2737
Gd 0.5000 0.5000 0.7263
Th 0.0000 0.0000 0.5000
! Calculated volume: 34.5 Å³ per atom
! ΔH_f (0 K): 0.05 eV/atom
! Space-group type: P4/mmm, No. 123
! Total magnetic moment: 6.912 μB/cell


Record 4
! LaTlCl2, optimized geometry, DFT PBE-GGA; values from VASP
&SYSTEM
  ibrav = 0, nat = 4, ntyp = 3
/
ATOMIC_SPECIES
La 138.91 La.upf
Tl 204.38 Tl.upf
Cl 35.45 Cl.upf
CELL_PARAMETERS angstrom
4.0599 0.0000 0.0000
0.0000 4.0599 0.0000
0.0000 0.0000 7.4770
ATOMIC_POSITIONS crystal
La 0.0000 0.0000 0.0000
Tl 0.5000 0.5000 0.3380
Cl 0.0000 0.0000 0.6432
Cl 0.5000 0.5000 0.9274
! Formation energy (no corrections): -1319 meV per atom
! Calculated volume: 30.8 Å³ per atom
! Space-group type: P4mm, No. 99
! Total magnetic moment: 0.000 μB/cell


Record 5
! RbPu3Hg2Cl12, optimized geometry, DFT PBE-GGA; values from VASP
&SYSTEM
  ibrav = 0, nat = 18, ntyp = 4
/
ATOMIC_SPECIES
Rb 85.47 Rb.upf
Pu 244.00 Pu.upf
Hg 200.59 Hg.upf
Cl 35.45 Cl.upf
CELL_PARAMETERS angstrom
5.1768 2.9888 7.0586
-5.1768 2.9888 7.0586
0.0000 -5.9777 7.0586
ATOMIC_POSITIONS crystal
Rb 0.0000 0.0000 0.0000
Pu 0.0000 0.0000 0.5000
Pu 0.0000 0.5000 0.0000
Pu 0.5000 0.0000 0.0000
Hg 0.4215 0.4215 0.4215
Hg 0.5785 0.5785 0.5785
Cl 0.0985 0.7327 0.7327
Cl 0.1421 0.1421 0.5693
Cl 0.1421 0.5693 0.1421
Cl 0.2673 0.2673 0.9015
Cl 0.2673 0.9015 0.2673
Cl 0.4307 0.8579 0.8579
Cl 0.5693 0.1421 0.1421
Cl 0.7327 0.0985 0.7327
Cl 0.7327 0.7327 0.0985
Cl 0.8579 0.4307 0.8579
Cl 0.8579 0.8579 0.4307
Cl 0.9015 0.2673 0.2673
! Formation energy (no corrections): -1550 meV per atom
! Calculated volume: 36.4 Å³ per atom
! Space-group type: R-3m, No. 166
! Total magnetic moment: 13.007 μB/cell


Record 6
! Er5CuSb4, optimized geometry, DFT PBE-GGA; values from VASP
&SYSTEM
  ibrav = 0, nat = 10, ntyp = 3
/
ATOMIC_SPECIES
Er 167.26 Er.upf
Cu 63.55 Cu.upf
Sb 121.76 Sb.upf
CELL_PARAMETERS angstrom
-4.8067 4.8067 3.0423
4.8067 -4.8067 3.0423
4.8067 4.8067 -3.0423
ATOMIC_POSITIONS crystal
Er 0.0000 0.0000 0.0000
Er 0.2043 0.3991 0.6000
Er 0.3991 0.7991 0.1948
Er 0.6043 0.2043 0.8052
Er 0.7991 0.6043 0.4000
Cu 0.4997 0.4997 0.0000
Sb 0.0987 0.7013 0.7966
Sb 0.3021 0.0987 0.3974
Sb 0.7013 0.9047 0.6026
Sb 0.9047 0.3021 0.2034
! Formation energy (no corrections): -798 meV per atom
! Calculated volume: 28.1 Å³ per atom
! Space-group type: I4, No. 79
! Total magnetic moment: 0.079 μB/cell


Record 7
! PuTh2TiN5, optimized geometry, DFT PBE-GGA; values from VASP
&SYSTEM
  ibrav = 0, nat = 18, ntyp = 4
/
ATOMIC_SPECIES
Pu 244.00 Pu.upf
Th 232.04 Th.upf
Ti 47.87 Ti.upf
N 14.01 N.upf
CELL_PARAMETERS angstrom
1.7639 -6.9873 0.0000
1.7639 6.9873 0.0000
0.0000 0.0000 10.4686
ATOMIC_POSITIONS crystal
Pu 0.2080 0.7920 0.5000
Pu 0.7920 0.2080 0.0000
Th 0.1104 0.8896 0.1878
Th 0.1419 0.8581 0.7885
Th 0.8581 0.1419 0.2885
Th 0.8896 0.1104 0.6878
Ti 0.4848 0.5152 0.9637
Ti 0.5152 0.4848 0.4637
N 0.0459 0.9541 0.5412
N 0.2820 0.7180 0.1533
N 0.3179 0.6821 0.8616
N 0.3770 0.6230 0.5089
N 0.4882 0.5118 0.2820
N 0.5118 0.4882 0.7820
N 0.6230 0.3770 0.0089
N 0.6821 0.3179 0.3616
N 0.7180 0.2820 0.6533
N 0.9541 0.0459 0.0412
! Formation energy (no corrections): -1431 meV per atom
! Calculated volume: 14.3 Å³ per atom
! Space-group type: Cmc2_1, No. 36
! Total magnetic moment: 9.532 μB/cell


Record 8
! Y2BeCo, optimized geometry, DFT PBE-GGA; values from VASP
&SYSTEM
  ibrav = 0, nat = 8, ntyp = 3
/
ATOMIC_SPECIES
Y 88.91 Y.upf
Be 9.01 Be.upf
Co 58.93 Co.upf
CELL_PARAMETERS angstrom
6.5225 0.0000 0.0000
0.0000 3.7572 0.0000
-2.1617 0.0000 7.1355
ATOMIC_POSITIONS crystal
Y 0.2423 0.0000 0.2267
Y 0.2577 0.5000 0.7733
Y 0.7423 0.5000 0.2267
Y 0.7577 0.0000 0.7733
Be 0.0000 0.0000 0.5000
Be 0.5000 0.5000 0.5000
Co 0.0000 0.5000 0.0000
Co 0.5000 0.0000 0.0000
! Calculated volume: 21.9 Å³ per atom
! ΔH_f (0 K): 0.25 eV/atom
! Space-group type: C2/m, No. 12
! Total magnetic moment: 0.000 μB/cell


Record 9
! YPuCuRu, optimized geometry, DFT PBE-GGA; values from VASP
&SYSTEM
  ibrav = 0, nat = 16, ntyp = 4
/
ATOMIC_SPECIES
Y 88.91 Y.upf
Pu 244.00 Pu.upf
Cu 63.55 Cu.upf
Ru 101.07 Ru.upf
CELL_PARAMETERS angstrom
6.8743 0.0000 0.0000
0.0000 6.8743 0.0000
0.0000 0.0000 6.8743
ATOMIC_POSITIONS crystal
Y 0.0000 0.0000 0.0000
Y 0.0000 0.5000 0.5000
Y 0.5000 0.0000 0.5000
Y 0.5000 0.5000 0.0000
Pu 0.0000 0.0000 0.5000
Pu 0.0000 0.5000 0.0000
Pu 0.5000 0.0000 0.0000
Pu 0.5000 0.5000 0.5000
Cu 0.2500 0.2500 0.7500
Cu 0.2500 0.7500 0.2500
Cu 0.7500 0.2500 0.2500
Cu 0.7500 0.7500 0.7500
Ru 0.2500 0.2500 0.2500
Ru 0.2500 0.7500 0.7500
Ru 0.7500 0.2500 0.7500
Ru 0.7500 0.7500 0.2500
! Calculated volume: 20.3 Å³ per atom
! ΔH_f (0 K): -0.12 eV/atom
! Space-group type: F-43m, No. 216
! Total magnetic moment: 21.643 μB/cell


Record 10
! KHg2Pb2, optimized geometry, DFT PBE-GGA; values from VASP
&SYSTEM
  ibrav = 0, nat = 10, ntyp = 3
/
ATOMIC_SPECIES
K 39.10 K.upf
Hg 200.59 Hg.upf
Pb 207.20 Pb.upf
CELL_PARAMETERS angstrom
-2.1983 2.6913 14.2575
2.1983 -2.6913 14.2575
2.1983 2.6913 -14.2575
ATOMIC_POSITIONS crystal
K 0.3334 0.0834 0.2500
K 0.6666 0.9166 0.7500
Hg 0.1242 0.3742 0.7500
Hg 0.2278 0.4778 0.7500
Hg 0.7722 0.5222 0.2500
Hg 0.8758 0.6258 0.2500
Pb 0.0431 0.7931 0.2500
Pb 0.4561 0.7061 0.7500
Pb 0.5439 0.2939 0.2500
Pb 0.9569 0.2069 0.7500
! Calculated volume: 33.7 Å³ per atom
! ΔH_f (0 K): -0.13 eV/atom
! Space-group type: Imma, No. 74
! Total magnetic moment: 0.000 μB/cell


Record 11
! LiFeS2, optimized geometry, DFT PBE-GGA; values from VASP
&SYSTEM
  ibrav = 0, nat = 16, ntyp = 3
/
ATOMIC_SPECIES
Li 6.94 Li.upf
Fe 55.84 Fe.upf
S 32.06 S.upf
CELL_PARAMETERS angstrom
0.0000 4.8604 4.8604
4.8604 0.0000 4.8604
4.8604 4.8604 0.0000
ATOMIC_POSITIONS crystal
Li 0.0000 0.0000 0.0000
Li 0.0000 0.0000 0.5000
Li 0.0000 0.5000 0.0000
Li 0.5000 0.0000 0.0000
Fe 0.0000 0.5000 0.5000
Fe 0.5000 0.0000 0.5000
Fe 0.5000 0.5000 0.0000
Fe 0.5000 0.5000 0.5000
S 0.2630 0.2630 0.2630
S 0.2630 0.2630 0.7109
S 0.2630 0.7109 0.2630
S 0.2891 0.7370 0.7370
S 0.7109 0.2630 0.2630
S 0.7370 0.2891 0.7370
S 0.7370 0.7370 0.2891
S 0.7370 0.7370 0.7370
! Formation energy (no corrections): -651 meV per atom
! Calculated volume: 14.4 Å³ per atom
! Space-group type: Fd-3m, No. 227
! Total magnetic moment: 4.002 μB/cell


Record 12
! RbNdSiS4, optimized geometry, DFT PBE-GGA; values from VASP
&SYSTEM
  ibrav = 0, nat = 14, ntyp = 4
/
ATOMIC_SPECIES
Rb 85.47 Rb.upf
Nd 144.24 Nd.upf
Si 28.09 Si.upf
S 32.06 S.upf
CELL_PARAMETERS angstrom
6.5592 0.0000 0.0000
0.0000 6.6839 0.0000
-2.7477 0.0000 8.7178
ATOMIC_POSITIONS crystal
Rb 0.2256 0.2500 0.4341
Rb 0.7744 0.7500 0.5659
Nd 0.2706 0.2500 0.9512
Nd 0.7294 0.7500 0.0488
Si 0.2835 0.7500 0.1729
Si 0.7165 0.2500 0.8271
S 0.0898 0.7500 0.3204
S 0.0956 0.7500 0.9376
S 0.4979 0.5005 0.2100
S 0.4979 0.9995 0.2100
S 0.5021 0.0005 0.7900
S 0.5021 0.4995 0.7900
S 0.9044 0.2500 0.0624
S 0.9102 0.2500 0.6796
! Formation energy (no corrections): -1436 meV per atom
! Calculated volume: 27.3 Å³ per atom
! Space-group type: P2_1/m, No. 11
! Total magnetic moment: 0.000 μB/cell


Record 13
! Be2SiPd, optimized geometry, DFT PBE-GGA; values from VASP
&SYSTEM
  ibrav = 0, nat = 4, ntyp = 3
/
ATOMIC_SPECIES
Be 9.01 Be.upf
Si 28.09 Si.upf
Pd 106.42 Pd.upf
CELL_PARAMETERS angstrom
3.6519 0.0000 0.0000
0.0000 3.6519 0.0000
0.0000 0.0000 3.3824
ATOMIC_POSITIONS crystal
Be 0.0000 0.5000 0.0000
Be 0.5000 0.0000 0.0000
Si 0.0000 0.0000 0.5000
Pd 0.5000 0.5000 0.5000
! Formation energy (no corrections): -191 meV per atom
! Calculated volume: 11.3 Å³ per atom
! Space-group type: P4/mmm, No. 123
! Total magnetic moment: 0.000 μB/cell